Record 1
Below is a geometry-optimized PbW2Au structure, with properties calculated at the PBE level.

Lattice parameters (Å, degrees): 3.2432 4.7055 4.8648 90.00 90.00 90.00
With the nearest neighbours (Å) after each atom.
Element x y z (fractional)
1 Au 0.5000 0.0000 0.5000  4 Pb 2.86, 4 W 2.92
2 W 0.5000 0.5000 0.0000  4 W 2.86, 4 Pb 2.92
3 W 0.0000 0.0000 0.0000  4 W 2.86, 4 Au 2.92
4 Pb 0.0000 0.5000 0.5000  4 Au 2.86, 4 W 2.92

## Properties
**Size of the total moment**: 0.00 μB/f.u.
**E_form**: 0.8588 eV/atom
**E**: -29.46 eV for the cell shown
**DOS at the Fermi energy**: 3.64 states/eV/cell
**SG**: Pmmm, No. 47

***

Record 2
Below is a geometry-optimized HfAl8 structure, with properties calculated at the PBE level.

Lattice parameters (Å, degrees): 6.4736 6.4736 6.4736 143.48 95.63 95.63
With the nearest neighbours (Å) after each atom.
Element x y z (fractional)
1 Al 0.6648 0.0000 0.6648  11 Al 2.87-2.89, 1 Hf 2.91
2 Al 0.3352 0.3352 0.0000  11 Al 2.87-2.89, 1 Hf 2.91
3 Al 0.0000 0.6683 0.3317  10 Al 2.85-2.93, 2 Hf 2.90
4 Al 0.6648 0.6648 0.0000  11 Al 2.87-2.89, 1 Hf 2.91
5 Al 0.6633 0.3317 0.3317  10 Al 2.85-2.93, 2 Hf 2.90
6 Al 0.3352 0.0000 0.3352  11 Al 2.87-2.89, 1 Hf 2.91
7 Hf 0.0000 0.0000 0.0000  12 Al 2.90-2.91
8 Al 0.0000 0.3317 0.6683  10 Al 2.85-2.93, 2 Hf 2.90
9 Al 0.3367 0.6683 0.6683  10 Al 2.85-2.93, 2 Hf 2.90

## Properties
**Size of the total moment**: 0.00 μB/f.u.
**E_form**: -0.0831 eV/atom
**E**: -40.64 eV for the cell shown
**DOS at the Fermi energy**: 6.13 states/eV/cell
**SG**: I4/mmm, No. 139

***

Record 3
Below is a geometry-optimized ScZn2Hg2 structure, with properties calculated at the PBE level.

Lattice parameters (Å, degrees): 7.5252 7.5252 3.5506 90.00 90.00 90.00
With the nearest neighbours (Å) after each atom.
Element x y z (fractional)
1 Hg 0.8156 0.3156 0.5000  6 Zn 2.74-2.93
2 Sc 0.5000 0.5000 0.0000  4 Zn 3.00, 8 Hg 3.27
3 Zn 0.8811 0.6189 0.0000  1 Zn 2.53, 2 Hg 2.74
4 Hg 0.6844 0.8156 0.5000  6 Zn 2.74-2.93
5 Sc 0.0000 0.0000 0.0000  4 Zn 3.00, 8 Hg 3.27
6 Zn 0.6189 0.1189 0.0000  1 Zn 2.53, 2 Hg 2.74
7 Zn 0.1189 0.3811 0.0000  1 Zn 2.53, 2 Hg 2.74
8 Zn 0.3811 0.8811 0.0000  1 Zn 2.53, 2 Hg 2.74
9 Hg 0.1844 0.6844 0.5000  6 Zn 2.74-2.93
10 Hg 0.3156 0.1844 0.5000  6 Zn 2.74-2.93

## Properties
**Size of the total moment**: 0.00 μB/f.u.
**E_form**: -0.0517 eV/atom
**E**: -19.48 eV for the cell shown
**Polymorph energy (0 for the lowest one)**: 1.8 kJ per mole of atoms
**DOS at the Fermi energy**: 4.54 states/eV/cell
**SG**: P4/mbm, No. 127